Entry 1:
Here is a relaxed structure of RbZr2F from Alexandria. Energies are from PBEsol.

Calculated values
As for the raw formation energy: 0.92 eV/atom. The total magnetization comes out at 0.00 μB/cell.

abc: 7.0031 7.0031 7.0031
angles: 90.00 90.00 90.00
Space group Fm-3m (No. 225)
Unique sites:
Rb (0.0000, 0.0000, 0.0000) [4 per cell]
Zr (0.2500, 0.2500, 0.2500) [8 per cell]
F (0.0000, 0.0000, 0.5000) [4 per cell]

---

Entry 2:
Here is a relaxed structure of ReF7 from Alexandria. Energies are from PBEsol.

Calculated values
As for the raw formation energy: -2.04 eV/atom. The total magnetization comes out at 0.00 μB/cell.

abc: 5.1868 5.1888 9.3690
angles: 92.58 92.09 114.06
Space group P-1 (No. 2)
Unique sites:
Re (0.1282, 0.3619, 0.2465) [2 per cell]
F (0.0515, 0.3933, 0.7847) [2 per cell]
F (0.1411, 0.6980, 0.6155) [2 per cell]
F (0.1552, 0.9216, 0.8631) [2 per cell]
F (0.1894, 0.1342, 0.3818) [2 per cell]
F (0.2748, 0.5571, 0.0839) [2 per cell]
F (0.3673, 0.2089, 0.1682) [2 per cell]
F (0.4101, 0.6556, 0.3517) [2 per cell]

---

What is the formula in the second record? ReF7

---

Among the records above, which one has the lowest raw formation energy? ReF7